No. 1
! TaGe2C2, relaxed, DFT PBE; values from VASP
&SYSTEM
  ibrav = 0, nat = 5, ntyp = 3
/
ATOMIC_SPECIES
Ge 72.64 Ge.upf
C 12.01 C.upf
Ta 180.95 Ta.upf
CELL_PARAMETERS angstrom
-0.5304 2.8693 -1.7416
-2.4676 0.8619 2.1715
2.4208 4.6283 3.5727
ATOMIC_POSITIONS crystal
Ge 0.7500 0.2500 0.5000
Ge 0.2500 0.7500 0.5000
C 0.4401 0.4401 0.1198
C 0.5599 0.5599 0.8802
Ta 0.0000 0.0000 0.0000
! SG: No. 139
! final energy: -6.74 eV/atom

---

No. 2
! TaGe2C2, relaxed, DFT PBE; values from VASP
&SYSTEM
  ibrav = 0, nat = 5, ntyp = 3
/
ATOMIC_SPECIES
Ge 72.64 Ge.upf
C 12.01 C.upf
Ta 180.95 Ta.upf
CELL_PARAMETERS angstrom
-0.9283 -1.3483 -2.8824
3.0745 -1.1543 -0.4502
-0.4440 -6.4268 1.2433
ATOMIC_POSITIONS crystal
Ge 0.3646 0.3646 0.2708
Ge 0.6354 0.6354 0.7292
C 0.7500 0.2500 0.5000
C 0.2500 0.7500 0.5000
Ta 0.0000 0.0000 0.0000
! SG: No. 139
! final energy: -6.20 eV/atom

---

No. 3
! Ta2Ti3Ge2C2, relaxed, DFT PBE; values from VASP
&SYSTEM
  ibrav = 0, nat = 9, ntyp = 4
/
ATOMIC_SPECIES
Ta 180.95 Ta.upf
Ti 47.87 Ti.upf
Ge 72.64 Ge.upf
C 12.01 C.upf
CELL_PARAMETERS angstrom
-3.0338 -1.9298 1.5735
1.6348 -3.4145 -1.0357
4.8163 2.3540 7.2784
ATOMIC_POSITIONS crystal
Ta 0.5773 0.5773 0.1546
Ta 0.4227 0.4227 0.8454
Ti 0.0000 0.0000 0.0000
Ti 0.2500 0.7500 0.5000
Ti 0.7500 0.2500 0.5000
Ge 0.1498 0.1498 0.2995
Ge 0.8502 0.8502 0.7005
C 0.5000 0.0000 0.0000
C 0.0000 0.5000 0.0000
! SG: No. 139
! final energy: -8.44 eV/atom

---

No. 4
! TaGeW2C, relaxed, DFT PBE; values from VASP
&SYSTEM
  ibrav = 0, nat = 5, ntyp = 4
/
ATOMIC_SPECIES
Ge 72.64 Ge.upf
C 12.01 C.upf
W 183.84 W.upf
Ta 180.95 Ta.upf
CELL_PARAMETERS angstrom
-3.4218 -3.5892 -0.1789
2.3176 -2.3207 2.2318
-2.1239 1.8205 4.0985
ATOMIC_POSITIONS crystal
Ge 0.5000 0.5000 0.5000
C 0.0000 0.5000 0.0000
W 0.0000 0.0000 0.5000
W 0.5000 0.0000 0.0000
Ta 0.0000 0.0000 0.0000
! SG: No. 123
! final energy: -8.09 eV/atom

---

No. 5
! Y2Ta2Ge2C, relaxed, DFT PBE; values from VASP
&SYSTEM
  ibrav = 0, nat = 7, ntyp = 4
/
ATOMIC_SPECIES
Y 88.91 Y.upf
Ta 180.95 Ta.upf
Ge 72.64 Ge.upf
C 12.01 C.upf
CELL_PARAMETERS angstrom
-0.7441 2.9575 2.9621
2.5863 -2.0406 2.6872
4.9342 3.5843 -5.3901
ATOMIC_POSITIONS crystal
Y 0.1671 0.1671 0.3343
Y 0.8329 0.8329 0.6657
Ta 0.0000 0.5000 0.0000
Ta 0.5000 0.0000 0.0000
Ge 0.3720 0.3720 0.7439
Ge 0.6280 0.6280 0.2561
C 0.0000 0.0000 0.0000
! SG: No. 139
! final energy: -8.50 eV/atom

---

No. 6
! Tb4GeC2, relaxed, DFT PBE; values from VASP
&SYSTEM
  ibrav = 0, nat = 14, ntyp = 3
/
ATOMIC_SPECIES
Ge 72.64 Ge.upf
Tb 158.93 Tb.upf
C 12.01 C.upf
CELL_PARAMETERS angstrom
3.7671 0.0000 0.0000
-1.8835 6.1646 0.0000
0.0000 0.0000 12.5699
ATOMIC_POSITIONS crystal
Ge 0.6092 0.2183 0.7500
Ge 0.3908 0.7817 0.2500
Tb 0.7670 0.5340 0.1068
Tb 0.7670 0.5340 0.3932
Tb 0.2330 0.4660 0.8932
Tb 0.2330 0.4660 0.6068
Tb 0.9332 0.8664 0.7500
Tb 0.0668 0.1336 0.2500
Tb 0.5000 0.0000 0.0000
Tb 0.5000 0.0000 0.5000
C 0.1367 0.2734 0.4400
C 0.8633 0.7266 0.9400
C 0.1367 0.2734 0.0600
C 0.8633 0.7266 0.5600
! SG: No. 63
! final energy: -6.38 eV/atom

---

No. 7
! Tb12Ge3C5, relaxed, DFT PBE; values from VASP
&SYSTEM
  ibrav = 0, nat = 80, ntyp = 3
/
ATOMIC_SPECIES
Ge 72.64 Ge.upf
Tb 158.93 Tb.upf
C 12.01 C.upf
CELL_PARAMETERS angstrom
13.5228 0.0000 0.0000
-4.5076 12.7495 0.0000
-4.5076 -6.3747 11.0413
ATOMIC_POSITIONS crystal
Ge 0.7500 0.3750 0.1250
Ge 0.8750 0.7500 0.1250
Ge 0.3750 0.7500 0.6250
Ge 0.2500 0.1250 0.3750
Ge 0.8750 0.1250 0.2500
Ge 0.3750 0.6250 0.2500
Ge 0.6250 0.3750 0.7500
Ge 0.1250 0.8750 0.7500
Ge 0.7500 0.8750 0.6250
Ge 0.6250 0.2500 0.3750
Ge 0.1250 0.2500 0.8750
Ge 0.2500 0.6250 0.8750
Tb 0.7055 0.1196 0.0248
Tb 0.3193 0.5248 0.4052
Tb 0.9752 0.3804 0.2945
Tb 0.5248 0.2055 0.1196
Tb 0.5859 0.7055 0.6807
Tb 0.9752 0.5948 0.1807
Tb 0.3193 0.7945 0.4141
Tb 0.0948 0.9141 0.1196
Tb 0.5948 0.9752 0.6807
Tb 0.7055 0.5859 0.1807
Tb 0.7945 0.4752 0.3804
Tb 0.8193 0.9052 0.0248
Tb 0.1196 0.7055 0.5248
Tb 0.3804 0.4052 0.0859
Tb 0.0859 0.9052 0.3804
Tb 0.4141 0.1196 0.5948
Tb 0.0859 0.1807 0.2055
Tb 0.4752 0.6807 0.0948
Tb 0.8193 0.9141 0.2945
Tb 0.1196 0.4141 0.0948
Tb 0.3804 0.9752 0.7945
Tb 0.5948 0.6196 0.4141
Tb 0.9052 0.8193 0.5248
Tb 0.7945 0.3193 0.9141
Tb 0.4052 0.3804 0.5859
Tb 0.0948 0.1807 0.4752
Tb 0.2055 0.6807 0.0859
Tb 0.1807 0.0859 0.7055
Tb 0.6196 0.0248 0.2055
Tb 0.8804 0.5859 0.9052
Tb 0.5248 0.3193 0.9052
Tb 0.5859 0.8804 0.4052
Tb 0.9141 0.8193 0.7945
Tb 0.9141 0.0948 0.6196
Tb 0.8804 0.2945 0.4752
Tb 0.1807 0.0948 0.9752
Tb 0.6196 0.5948 0.9141
Tb 0.4052 0.0248 0.3193
Tb 0.2945 0.4141 0.8193
Tb 0.2055 0.5248 0.6196
Tb 0.9052 0.0859 0.8804
Tb 0.6807 0.2055 0.5859
Tb 0.4752 0.7945 0.8804
Tb 0.0248 0.4052 0.8193
Tb 0.4141 0.2945 0.3193
Tb 0.0248 0.6196 0.7055
Tb 0.6807 0.4752 0.5948
Tb 0.2945 0.8804 0.9752
C 0.1250 0.3750 0.2500
C 0.0000 0.5000 0.0000
C 0.0000 0.0000 0.0000
C 0.3750 0.2500 0.1250
C 0.5000 0.0000 0.5000
C 0.5000 0.5000 0.0000
C 0.1250 0.7500 0.3750
C 0.7500 0.1250 0.8750
C 0.7500 0.6250 0.3750
C 0.3750 0.1250 0.7500
C 0.6250 0.8750 0.2500
C 0.5000 0.5000 0.5000
C 0.5000 0.0000 0.0000
C 0.0000 0.0000 0.5000
C 0.2500 0.3750 0.6250
C 0.2500 0.8750 0.1250
C 0.0000 0.5000 0.5000
C 0.8750 0.2500 0.6250
C 0.6250 0.7500 0.8750
C 0.8750 0.6250 0.7500
! SG: No. 230
! final energy: -6.12 eV/atom

---

No. 8
! Tb4Ge2C, relaxed, DFT PBE; values from VASP
&SYSTEM
  ibrav = 0, nat = 7, ntyp = 3
/
ATOMIC_SPECIES
Ge 72.64 Ge.upf
Tb 158.93 Tb.upf
C 12.01 C.upf
CELL_PARAMETERS angstrom
4.7241 0.0000 0.0000
0.0000 4.7241 0.0000
-2.3620 -2.3620 7.6434
ATOMIC_POSITIONS crystal
Ge 0.6366 0.6366 0.2733
Ge 0.3634 0.3634 0.7267
Tb 0.8319 0.8319 0.6637
Tb 0.1681 0.1681 0.3363
Tb 0.0000 0.5000 0.0000
Tb 0.5000 0.0000 0.0000
C 0.0000 0.0000 0.0000
! SG: No. 139
! final energy: -5.90 eV/atom

---

No. 9
! Tb6Ge2C, relaxed, DFT PBE; values from VASP
&SYSTEM
  ibrav = 0, nat = 18, ntyp = 3
/
ATOMIC_SPECIES
Tb 158.93 Tb.upf
Ge 72.64 Ge.upf
C 12.01 C.upf
CELL_PARAMETERS angstrom
-5.7068 0.3966 -3.0158
-1.3020 -6.1131 1.6598
-5.2435 3.9520 10.4421
ATOMIC_POSITIONS crystal
Tb 0.3092 0.3092 0.3564
Tb 0.6908 0.6908 0.3564
Tb 0.1908 0.8092 0.8564
Tb 0.8092 0.1908 0.8564
Tb 0.1908 0.8092 0.1436
Tb 0.8092 0.1908 0.1436
Tb 0.3092 0.3092 0.6436
Tb 0.6908 0.6908 0.6436
Tb 0.2792 0.2792 0.0000
Tb 0.7208 0.7208 0.0000
Tb 0.2208 0.7792 0.5000
Tb 0.7792 0.2208 0.5000
Ge 0.0000 0.0000 0.3288
Ge 0.5000 0.5000 0.8288
Ge 0.5000 0.5000 0.1712
Ge 0.0000 0.0000 0.6712
C 0.0000 0.0000 0.0000
C 0.5000 0.5000 0.5000
! SG: No. 136
! final energy: -5.45 eV/atom

---

No. 10
! Tb12Ge6C, relaxed, DFT PBE; values from VASP
&SYSTEM
  ibrav = 0, nat = 19, ntyp = 3
/
ATOMIC_SPECIES
Tb 158.93 Tb.upf
Ge 72.64 Ge.upf
C 12.01 C.upf
CELL_PARAMETERS angstrom
-7.8551 0.1049 -2.2761
1.3499 -8.0406 -0.6488
-1.0718 0.4067 8.0982
ATOMIC_POSITIONS crystal
Tb 0.8125 0.5717 0.4356
Tb 0.4356 0.8125 0.5717
Tb 0.5717 0.4356 0.8125
Tb 0.1875 0.4283 0.5644
Tb 0.5644 0.1875 0.4283
Tb 0.4283 0.5644 0.1875
Tb 0.0686 0.9678 0.3052
Tb 0.0322 0.6948 0.9314
Tb 0.6948 0.9314 0.0322
Tb 0.9314 0.0322 0.6948
Tb 0.9678 0.3052 0.0686
Tb 0.3052 0.0686 0.9678
Ge 0.7065 0.8762 0.3808
Ge 0.6192 0.2935 0.1238
Ge 0.1238 0.6192 0.2935
Ge 0.2935 0.1238 0.6192
Ge 0.3808 0.7065 0.8762
Ge 0.8762 0.3808 0.7065
C 0.0000 0.0000 0.0000
! SG: No. 148
! final energy: -5.40 eV/atom

---

No. 11
! Tb4Ge2C, relaxed, DFT PBE; values from VASP
&SYSTEM
  ibrav = 0, nat = 7, ntyp = 3
/
ATOMIC_SPECIES
Tb 158.93 Tb.upf
Ge 72.64 Ge.upf
C 12.01 C.upf
CELL_PARAMETERS angstrom
-2.7370 -1.5196 -2.4920
-2.4847 -5.2250 5.9153
-0.2747 7.2013 -0.8772
ATOMIC_POSITIONS crystal
Tb 0.9203 0.1846 0.8406
Tb 0.0797 0.8154 0.1594
Tb 0.6617 0.2497 0.3234
Tb 0.3383 0.7503 0.6766
Ge 0.6236 0.5912 0.2473
Ge 0.3764 0.4088 0.7527
C 0.0000 0.0000 0.0000
! SG: No. 12
! final energy: -5.88 eV/atom

---

No. 12
! Tb3Ge2C, relaxed, DFT PBE; values from VASP
&SYSTEM
  ibrav = 0, nat = 6, ntyp = 3
/
ATOMIC_SPECIES
Tb 158.93 Tb.upf
Ge 72.64 Ge.upf
C 12.01 C.upf
CELL_PARAMETERS angstrom
-2.3691 -1.4997 -2.3400
3.3146 -3.3249 -1.2249
-3.1565 -2.4005 7.5841
ATOMIC_POSITIONS crystal
Tb 0.0000 0.5000 0.0000
Tb 0.8452 0.8452 0.6904
Tb 0.1548 0.1548 0.3096
Ge 0.6559 0.6559 0.3117
Ge 0.3441 0.3441 0.6883
C 0.0000 0.0000 0.0000
! SG: No. 71
! final energy: -5.58 eV/atom